4
Lattice="5.2383 -0.0514 -0.1715 -2.3574 4.8113 0.1155 0.5236 0.8059 2.6878" Properties=species:S:1:pos:R:3 comment="CaMn2Ir, relaxed, DFT PBE" e_form_ev_per_atom=0.3897 m_tot_mub_per_fu=7.4 volume_a3_per_cell=67.68 sg="No. 12" pbc="T T T"
Ca -0.9169 2.8086 1.4017
Ir 1.4405 2.3800 -0.0280
Mn 0.0000 0.0000 0.0000
Mn 2.8809 0.3773 1.2582

---

4
Lattice="-6.1381 0.8309 -0.1964 -5.6095 -2.0081 1.7048 -1.8482 2.3462 4.0173" Properties=species:S:1:pos:R:3 comment="Ca2MnIr, relaxed, DFT PBE" e_form_ev_per_atom=0.0092 m_tot_mub_per_fu=4.1 e_above_lowest_polymorph_ev_per_fu=0.241 volume_a3_per_cell=93.49 sg="No. 44" pbc="T T T"
Ca -11.6912 -1.1568 1.5232
Ca -10.5888 0.7364 4.0438
Ir -7.0544 0.4943 2.6996
Mn -2.8068 0.5022 1.5303

---

8
Lattice="-9.3395 3.5951 2.1754 -3.0189 -9.4287 2.6211 -5.4777 -2.4970 4.7163" Properties=species:S:1:pos:R:3 comment="Ca2MnIr, relaxed, DFT PBE" e_form_ev_per_atom=0.2219 m_tot_mub_per_fu=4.1 e_above_lowest_polymorph_ev_per_fu=1.092 volume_a3_per_cell=257.81 sg="No. 122" pbc="T T T"
Ca -9.0724 1.0170 3.2131
Ca -12.2748 -3.0457 4.9179
Ca -8.2615 -2.5577 4.9182
Ca -12.3841 0.9489 5.5308
Ir 0.0000 0.0000 0.0000
Ir -10.4982 -0.9094 4.6450
Mn -6.1792 -2.9168 2.3983
Mn -7.3379 -7.4213 4.8678

---

4
Lattice="4.1232 -0.8913 0.4771 2.8088 3.1473 0.4771 1.6764 0.5456 5.4862" Properties=species:S:1:pos:R:3 comment="CaMn2Ir, relaxed, DFT PBE" e_form_ev_per_atom=0.0095 m_tot_mub_per_fu=1.6 volume_a3_per_cell=81.36 sg="No. 8" pbc="T T T"
Ca 4.3139 1.4040 3.1471
Ir 2.2611 0.7359 0.7148
Mn 6.9019 2.2462 1.1930
Mn 6.3676 2.0723 5.5597

---

5
Lattice="-0.1439 2.5358 -4.1847 -0.5467 -4.1686 -2.5072 -4.8624 0.3937 0.4057" Properties=species:S:1:pos:R:3 comment="CaMn3Ir, relaxed, DFT PBE" e_form_ev_per_atom=0.5362 m_tot_mub_per_fu=12.9 e_above_lowest_polymorph_ev_per_fu=0.000 volume_a3_per_cell=117.30 sg="No. 221" pbc="T T T"
Ca -2.7765 -0.6196 -3.1431
Ir 0.0000 0.0000 0.0000
Mn -0.2734 -2.0843 -1.2536
Mn -2.4312 0.1969 0.2029
Mn -0.0719 1.2679 -2.0923

---

4
Lattice="-0.0211 3.0671 -0.2727 -2.2536 -0.2012 -2.0888 -5.0000 0.4415 5.3518" Properties=species:S:1:pos:R:3 comment="CaMn2Ir, relaxed, DFT PBE" e_form_ev_per_atom=0.1934 m_tot_mub_per_fu=6.4 volume_a3_per_cell=69.57 sg="No. 99" pbc="T T T"
Ca -2.5931 0.2289 2.7755
Ir -5.1673 1.7888 3.1328
Mn -4.9347 0.4357 5.2819
Mn -2.0795 1.5162 -0.1723

---

8
Lattice="-5.2465 -4.2082 -3.5029 -2.5621 -2.4007 6.7214 -5.7200 -1.1154 1.6990" Properties=species:S:1:pos:R:3 comment="CaMn2Ir, relaxed, DFT PBE" e_form_ev_per_atom=0.4143 m_tot_mub_per_fu=7.6 volume_a3_per_cell=163.63 sg="No. 122" pbc="T T T"
Ca -3.9043 -3.3044 1.6093
Ca -6.0932 -3.4103 5.0148
Ir 0.0000 0.0000 0.0000
Ir -7.4354 -4.3140 -0.0973
Mn -5.3703 -3.4826 -1.1521
Mn -3.3461 -2.0318 4.4155
Mn -7.0517 -3.1588 2.0443
Mn -11.2891 -6.7754 4.5273

---

5
Lattice="4.4734 0.0000 0.0000 0.0000 4.4734 0.0000 0.0000 0.0000 4.4734" Properties=species:S:1:pos:R:3 comment="CaMn3Ir, relaxed, DFT PBE" e_form_ev_per_atom=2.0016 m_tot_mub_per_fu=11.1 e_above_lowest_polymorph_ev_per_fu=7.327 volume_a3_per_cell=89.52 sg="No. 221" pbc="T T T"
Ca 0.0000 0.0000 0.0000
Ir 2.2367 2.2367 2.2367
Mn 0.0000 2.2367 0.0000
Mn 0.0000 0.0000 2.2367
Mn 2.2367 0.0000 0.0000

---

4
Lattice="-1.6737 0.3379 -2.9786 0.8480 -3.2186 -0.8416 -6.9742 -2.7797 3.6035" Properties=species:S:1:pos:R:3 comment="Ca2MnIr, relaxed, DFT PBE" e_form_ev_per_atom=0.0108 m_tot_mub_per_fu=3.6 e_above_lowest_polymorph_ev_per_fu=0.247 volume_a3_per_cell=98.16 sg="No. 99" pbc="T T T"
Ca -6.4831 -2.5840 3.3497
Ca -2.6901 -2.3480 -0.7334
Ir -3.9772 -1.5852 2.0550
Mn -5.1107 -3.3128 0.5172

---

5
Lattice="-2.2293 2.5199 2.3739 2.1474 -1.2081 3.2991 3.1522 4.2120 2.0603" Properties=species:S:1:pos:R:3 comment="CaMn2Ir2, relaxed, DFT PBE" e_form_ev_per_atom=-0.0066 m_tot_mub_per_fu=2.5 e_above_lowest_polymorph_ev_per_fu=0.394 volume_a3_per_cell=82.10 sg="No. 139" pbc="T T T"
Ca 0.0000 0.0000 0.0000
Ir 0.4409 3.6939 3.6353
Ir 2.6293 1.8299 4.0980
Mn 0.6430 1.4176 2.6702
Mn 2.4272 4.1062 5.0631

---

4
Lattice="4.1607 0.0000 0.0000 0.0000 4.1023 0.0000 0.0000 0.0000 4.1023" Properties=species:S:1:pos:R:3 comment="CaMn2Ir, relaxed, DFT PBE" e_form_ev_per_atom=0.2841 m_tot_mub_per_fu=8.4 volume_a3_per_cell=70.02 sg="No. 123" pbc="T T T"
Ca 2.0803 2.0512 0.0000
Ir 2.0803 0.0000 2.0512
Mn 0.0000 0.0000 0.0000
Mn 0.0000 2.0512 2.0512

---

5
Lattice="-0.8736 1.6994 4.2571 -4.4982 -0.5215 -0.7149 0.2193 -4.3133 1.7668" Properties=species:S:1:pos:R:3 comment="CaMnMoIr2, relaxed, DFT PBE" e_form_ev_per_atom=2.7838 m_tot_mub_per_fu=0.5 volume_a3_per_cell=99.82 sg="No. 123" pbc="T T T"
Mo -2.2491 -0.2607 -0.3574
Ir 0.1096 -2.1566 0.8834
Ir -0.4368 0.8497 2.1286
Ca 0.0000 0.0000 0.0000
Mn -2.5763 -1.5677 2.6545

---

5
Lattice="4.2094 0.0000 0.0000 0.0000 4.2094 0.0000 0.0000 0.0000 4.7561" Properties=species:S:1:pos:R:3 comment="CaMn2IrPt, relaxed, DFT PBE" e_form_ev_per_atom=2.3423 m_tot_mub_per_fu=0.0 volume_a3_per_cell=84.27 sg="No. 123" pbc="T T T"
Mn 0.0000 2.1047 0.0000
Mn 2.1047 0.0000 0.0000
Ca 0.0000 0.0000 0.0000
Ir 2.1047 2.1047 2.3781
Pt 0.0000 0.0000 2.3781

---

5
Lattice="-1.9599 -2.9442 -4.1140 -1.0853 -3.0991 2.7349 -4.8678 2.2991 0.6736" Properties=species:S:1:pos:R:3 comment="Ca2MnIrSe, relaxed, DFT PBE" m_tot_mub_per_fu=2.8 volume_a3_per_cell=125.79 sg="No. 123" e_form_raw_ev_per_fu=2.17 pbc="T T T"
Mn 0.0000 0.0000 0.0000
Ca -2.4339 1.1495 0.3368
Ca -0.9799 -1.4721 -2.0570
Ir -3.9565 -1.8721 -0.3528
Se -0.5426 -1.5495 1.3674